[1]
! PaCuS2 | the Alexandria database | PBE | relaxed; values from VASP
&SYSTEM
  ibrav = 0, nat = 4, ntyp = 3
/
ATOMIC_SPECIES
S 32.06 S.upf
Pa 231.04 Pa.upf
Cu 63.55 Cu.upf
ATOMIC_POSITIONS angstrom
S -0.1066 -5.6432 -1.4326
S 0.1288 -3.0689 -6.2707
Pa 0.0111 -4.3560 -3.8517
Cu 0.0000 0.0000 0.0000
CELL_PARAMETERS angstrom
-1.8172 -0.4183 -3.3518
2.0148 -0.5237 -3.2216
-0.1754 -7.7701 -1.1299
! formation energy from raw total energies = -0.886 eV per atom
! energy above the most stable polymorph in this dataset = 0.158 eV per atom

[2]
! Pa3CuS6 | the Alexandria database | PBE | relaxed; values from VASP
&SYSTEM
  ibrav = 0, nat = 20, ntyp = 3
/
ATOMIC_SPECIES
Pa 231.04 Pa.upf
Cu 63.55 Cu.upf
S 32.06 S.upf
ATOMIC_POSITIONS angstrom
Pa 3.0507 6.5325 6.1487
Pa 6.2416 4.5359 7.7399
Pa 2.4381 2.2798 5.0294
Pa 5.6291 4.3938 3.3446
Pa 6.2416 0.1411 2.2253
Pa 3.0507 2.1377 0.6341
Cu 0.2270 0.3050 6.6032
Cu 3.4179 6.3686 1.7708
S 1.1515 4.7795 5.2728
S 4.3425 4.0733 5.8357
S 1.2843 2.1647 7.5026
S 4.4752 6.8304 3.7843
S 1.1398 -1.3784 7.9448
S 4.2742 0.5904 6.3758
S 1.0833 6.0832 1.9982
S 4.3307 8.0520 0.4292
S 1.2843 -0.1568 4.5897
S 4.4752 4.5089 0.8713
S 1.1515 2.6003 2.5383
S 4.3425 1.8941 3.1012
CELL_PARAMETERS angstrom
6.3818 0.0000 0.0000
0.0000 8.3739 0.1727
0.0000 -1.7003 8.2013
! formation energy from raw total energies = -1.418 eV per atom

[3]
! PaCu2S4 | the Alexandria database | PBE | relaxed; values from VASP
&SYSTEM
  ibrav = 0, nat = 14, ntyp = 3
/
ATOMIC_SPECIES
Pa 231.04 Pa.upf
Cu 63.55 Cu.upf
S 32.06 S.upf
ATOMIC_POSITIONS angstrom
Pa 3.7501 -1.9887 2.0862
Pa 1.7772 -2.7980 6.3058
Cu -0.2134 0.0796 5.8226
Cu 1.7444 -4.5635 0.7534
Cu -0.3950 -2.1657 2.7625
Cu 2.4171 1.0504 3.2742
S -3.7944 -1.7851 3.7872
S 1.2241 -2.3567 1.2059
S -0.4809 -2.0752 5.0130
S -2.3871 0.6587 5.6810
S -1.2307 -0.0345 2.4023
S 0.8816 1.8049 4.7419
S 2.9200 -0.8976 4.4126
S -1.4726 -4.1466 2.2539
CELL_PARAMETERS angstrom
-6.2198 -2.2068 2.6771
5.2278 -4.5672 -1.5944
2.7689 3.9756 5.2238
! formation energy from raw total energies = -0.844 eV per atom

[4]
! PaCuS3 | the Alexandria database | PBE | relaxed; values from VASP
&SYSTEM
  ibrav = 0, nat = 20, ntyp = 3
/
ATOMIC_SPECIES
Pa 231.04 Pa.upf
Cu 63.55 Cu.upf
S 32.06 S.upf
ATOMIC_POSITIONS angstrom
Pa -5.9572 -2.1426 -4.3252
Pa -3.7258 -1.0480 -0.8798
Pa -1.8754 -6.8953 -0.2333
Pa -4.1068 -7.9900 -3.6787
Cu -2.0855 -1.9793 -4.5845
Cu -1.6257 -3.5207 -0.2791
Cu -5.7471 -7.0586 0.0260
Cu -6.2069 -5.5173 -4.2793
S -2.0749 -6.1032 -2.8314
S -4.1008 -7.8567 1.3572
S -5.7577 -2.9347 -1.7270
S -3.7318 -1.1812 -5.9157
S -6.6823 -5.0891 0.9658
S -5.5148 -6.3242 -2.1566
S -1.1503 -3.9488 -5.5242
S -2.3179 -2.7137 -2.4019
S -4.5114 -4.2150 -5.0213
S -4.9511 -0.0298 -2.9610
S -3.3212 -4.8229 0.4628
S -2.8815 -9.0081 -1.5975
CELL_PARAMETERS angstrom
-5.9021 1.9764 -1.2186
0.5082 -2.4311 -6.4045
-2.4387 -8.5832 3.0646
! formation energy from raw total energies = -1.151 eV per atom
! energy above the most stable polymorph in this dataset = 0.000 eV per atom